# TbUSe2N | Alexandria via LeMat-Bulk | PBE | optimized geometry
# Formation energy from raw total energies = -1.62 eV/atom
# Symmetry = P4/nmm (129)
data_TbUSe2N
_chemical_formula_sum 'Tb2 U2 Se4 N2'
_space_group_name_H-M_alt 'P 1'
_space_group_IT_number 1
_cell_length_a 3.924
_cell_length_b 3.924
_cell_length_c 14.579
_cell_angle_alpha 90.00
_cell_angle_beta 90.00
_cell_angle_gamma 90.00
loop_
_space_group_symop_operation_xyz
'x,y,z'
loop_
_atom_site_label
_atom_site_type_symbol
_atom_site_fract_x
_atom_site_fract_y
_atom_site_fract_z
Tb1 Tb 0.250 0.250 0.124
Tb2 Tb 0.750 0.750 0.876
U1 U 0.250 0.250 0.578
U2 U 0.750 0.750 0.422
Se1 Se 0.250 0.250 0.313
Se2 Se 0.250 0.250 0.911
Se3 Se 0.750 0.750 0.089
Se4 Se 0.750 0.750 0.687
N1 N 0.250 0.750 0.500
N2 N 0.750 0.250 0.500